(1)
DFT (PBE-GGA) results for an optimized crystal structure of PPb2O4.

Density (Mg/m³): 6.4
ΔE_f (raw) (eV per formula unit): -11.642
M_tot (μB/f.u.): 0.00
Energy relative to the lowest polymorph listed for this composition (meV per atom): 0.0

abc: 6.407 6.407 6.415
angles: 90.00 90.00 90.00
Space group I-42m (No. 121)
Inequivalent atoms, fractional coordinates:
1 P 0.000 0.000 0.000 x2
2 Pb 0.000 0.500 0.250 x4
3 O 0.141 0.141 0.861 x8


(2)
DFT (PBE-GGA) results for an optimized crystal structure of PPb2O4.

Density (Mg/m³): 6.2
ΔE_f (raw) (eV per formula unit): -11.190
M_tot (μB/f.u.): 0.00
Energy relative to the lowest polymorph listed for this composition (meV per atom): 64.6

abc: 6.495 9.187 5.615
angles: 90.00 124.89 90.00
Space group Cm (No. 8)
Inequivalent atoms, fractional coordinates:
1 P 0.000 0.000 0.000 x2
2 Pb 0.452 0.250 0.407 x4
3 O 0.295 0.000 0.194 x2
4 O 0.398 0.500 0.196 x2
5 O 0.410 0.357 0.819 x4


(3)
DFT (PBE-GGA) results for an optimized crystal structure of P2PbO2.

Density (Mg/m³): 5.4
ΔE_f (raw) (eV per formula unit): 1.050
M_tot (μB/f.u.): 0.27
Energy relative to the lowest polymorph listed for this composition (meV per atom): 614.9

abc: 3.815 3.815 6.309
angles: 90.00 90.00 90.00
Space group P4/mmm (No. 123)
Inequivalent atoms, fractional coordinates:
1 P 0.000 0.500 0.000 x2
2 Pb 0.000 0.000 0.500 x1
3 O 0.500 0.500 0.000 x1
4 O 0.500 0.500 0.500 x1


(4)
DFT (PBE-GGA) results for an optimized crystal structure of P3PbO.

Density (Mg/m³): 6.2
ΔE_f (raw) (eV per formula unit): 2.726
M_tot (μB/f.u.): 0.00
Energy relative to the lowest polymorph listed for this composition (meV per atom): 0.0

abc: 4.394 4.394 4.394
angles: 90.00 90.00 90.00
Space group Pm-3m (No. 221)
Inequivalent atoms, fractional coordinates:
1 P 0.000 0.000 0.500 x3
2 Pb 0.500 0.500 0.500 x1
3 O 0.000 0.000 0.000 x1


(5)
DFT (PBE-GGA) results for an optimized crystal structure of PPb3O.

Density (Mg/m³): 8.9
ΔE_f (raw) (eV per formula unit): -0.523
M_tot (μB/f.u.): 0.00
Energy relative to the lowest polymorph listed for this composition (meV per atom): 0.0

abc: 5.003 5.003 5.003
angles: 90.00 90.00 90.00
Space group Pm-3m (No. 221)
Inequivalent atoms, fractional coordinates:
1 P 0.000 0.000 0.000 x1
2 Pb 0.000 0.500 0.500 x3
3 O 0.500 0.500 0.500 x1


(6)
DFT (PBE-GGA) results for an optimized crystal structure of P3PbO9.

Density (Mg/m³): 3.9
ΔE_f (raw) (eV per formula unit): -24.464
M_tot (μB/f.u.): 0.00

abc: 10.161 10.216 7.293
angles: 90.00 90.00 90.00
Space group C222_1 (No. 20)
Inequivalent atoms, fractional coordinates:
1 P 0.002 0.210 0.043 x8
2 P 0.205 0.000 0.500 x4
3 Pb 0.214 0.500 0.500 x4
4 O 0.000 0.155 0.250 x4
5 O 0.039 0.350 0.470 x8
6 O 0.105 0.118 0.552 x8
7 O 0.136 0.180 0.964 x8
8 O 0.219 0.471 0.828 x8